A plane-wave DFT calculation with PBE-GGA was carried out for a relaxed SmDyZnCo2 crystal. Values from VASP.

Properties
- raw total energy (eV per formula unit) = -26.08
- formation energy from the elements (eV per atom) = -0.26

Quantum ESPRESSO input file:
```
&SYSTEM
  ibrav = 0, nat = 10, ntyp = 4
/
ATOMIC_SPECIES
Sm 150.36 Sm.upf
Dy 162.50 Dy.upf
Zn 65.41 Zn.upf
Co 58.93 Co.upf
CELL_PARAMETERS angstrom
4.115 0.000 0.000
0.000 5.494 0.000
0.000 0.000 8.246
ATOMIC_POSITIONS crystal
Sm 0.000 0.000 0.000
Sm 0.500 0.500 0.500
Dy 0.000 0.000 0.581
Dy 0.500 0.500 0.081
Zn 0.000 0.500 0.792
Zn 0.500 0.000 0.292
Co 0.000 0.291 0.288
Co 0.000 0.709 0.288
Co 0.500 0.209 0.788
Co 0.500 0.791 0.788
```